Density functional theory data (SCAN) for a crystal of K2ScOs relaxed with PBEsol.

Unit cell a=6.5487 b=6.5487 c=6.5487 alpha=144.48 beta=144.48 gamma=51.11
Positions (direct):
K (0.2500, 0.7500, 0.5000)
K (0.7500, 0.2500, 0.5000)
Sc (0.0000, 0.0000, 0.0000)
Os (0.5000, 0.5000, 0.0000)

Summary:
Its crystal system is tetragonal. For the magnetization, the calculation gives 0.1880 μB/atom. As for the formation energy from the elements: 0.9874 eV per atom. The distance to the lowest polymorph of the same formula is 0.025 eV/atom. The value obtained for the total energy is -24.71 eV/atom.


Density functional theory data (SCAN) for a crystal of KScOs2 relaxed with PBEsol.

Unit cell a=2.7787 b=2.7787 c=9.8990 alpha=90.00 beta=90.00 gamma=113.99
Positions (direct):
K (0.0000, 0.0000, 0.0000)
Sc (0.0000, 0.0000, 0.5000)
Os (0.5000, 0.5000, 0.2831)
Os (0.5000, 0.5000, 0.7169)

Summary:
Its crystal system is orthorhombic. For the magnetization, the calculation gives 0.0000 μB/atom. As for the formation energy from the elements: 0.5024 eV per atom. The distance to the lowest polymorph of the same formula is 0.000 eV/atom. The value obtained for the total energy is -41.08 eV/atom.


The lowest magnetization belongs to which entry? KScOs2


Which formula does entry 1 have? K2ScOs


The highest formation energy from the elements belongs to which entry? K2ScOs


Which of these has the highest formation energy from the elements? K2ScOs